# CoSn2Ir, relaxed, DFT PBE
# Energy of formation, meV/atom: 94
# Calculated density, g/cm3: 11.948
data_CoSn2Ir
_cell_length_a 6.4761
_cell_length_b 6.4761
_cell_length_c 6.4761
_cell_angle_alpha 90.00
_cell_angle_beta 90.00
_cell_angle_gamma 90.00
_symmetry_space_group_name_H-M 'F m -3 m'
_symmetry_Int_Tables_number 225
_symmetry_space_group_name_Hall '-F 4 2 3'
loop_
_atom_site_label
_atom_site_type_symbol
_atom_site_fract_x
_atom_site_fract_y
_atom_site_fract_z
Co1 Co 0.0000 0.0000 0.0000
Sn1 Sn 0.2500 0.2500 0.2500
Ir1 Ir 0.0000 0.0000 0.5000